Density functional theory data (GGA-PBE) for a relaxed HgAsCl3 crystal.

Cell lengths 7.7719, 8.8153, 13.5122 Å; angles 90.00, 91.62, 90.00 degrees
Element x y z (fractional)
Hg: 0.0000 0.0035 0.1267
Hg: 0.0000 0.0035 0.3733
Hg: 0.0000 0.9965 0.6267
Hg: 0.0000 0.9965 0.8733
As: 0.1314 0.3634 0.1099
As: 0.1314 0.6366 0.6099
As: 0.8686 0.3634 0.3901
As: 0.8686 0.6366 0.8901
Cl: 0.1468 0.3837 0.5891
Cl: 0.1468 0.6163 0.0891
Cl: 0.2507 0.3533 0.2612
Cl: 0.2507 0.6467 0.7612
Cl: 0.3556 0.2959 0.0237
Cl: 0.3556 0.7041 0.5237
Cl: 0.6444 0.2959 0.4763
Cl: 0.6444 0.7041 0.9763
Cl: 0.7493 0.3533 0.2388
Cl: 0.7493 0.6467 0.7388
Cl: 0.8532 0.3837 0.9109
Cl: 0.8532 0.6163 0.4109

Output
DOS(E_F): 0.00 states/eV/cell
E: -53.01 eV/cell
M_tot: 0.00 μB per formula unit
excess energy over the best structure of this formula in the dataset: 0 meV per atom
energy relative to the elements, uncorrected: -53.30 kJ per mole of atoms

=====

Density functional theory data (GGA-PBE) for a relaxed BeIr2Se crystal.

Cell lengths 4.2701, 4.2701, 4.2701 Å; angles 60.00, 60.00, 60.00 degrees
Element x y z (fractional)
Be: 0.0000 0.0000 0.0000
Ir: 0.2500 0.2500 0.2500
Ir: 0.7500 0.7500 0.7500
Se: 0.5000 0.5000 0.5000

Output
DOS(E_F): 4.77 states/eV/cell
E: -23.78 eV/cell
M_tot: 0.40 μB per formula unit
excess energy over the best structure of this formula in the dataset: 253 meV per atom
energy relative to the elements, uncorrected: 27.76 kJ per mole of atoms

=====

Density functional theory data (GGA-PBE) for a relaxed BaDy2S4 crystal.

Cell lengths 12.3261, 4.0584, 14.5796 Å; angles 90.00, 90.00, 90.00 degrees
Element x y z (fractional)
Ba: 0.2421 0.2500 0.1616
Ba: 0.2579 0.7500 0.6616
Ba: 0.7421 0.2500 0.3384
Ba: 0.7579 0.7500 0.8384
Dy: 0.0673 0.2500 0.3914
Dy: 0.0787 0.2500 0.8982
Dy: 0.4213 0.7500 0.3982
Dy: 0.4327 0.7500 0.8914
Dy: 0.5673 0.2500 0.1086
Dy: 0.5787 0.2500 0.6018
Dy: 0.9213 0.7500 0.1018
Dy: 0.9327 0.7500 0.6086
S: 0.0227 0.7500 0.7831
S: 0.0808 0.2500 0.5770
S: 0.1238 0.7500 0.0233
S: 0.2071 0.7500 0.3366
S: 0.2929 0.2500 0.8366
S: 0.3762 0.2500 0.5233
S: 0.4192 0.7500 0.0770
S: 0.4773 0.2500 0.2831
S: 0.5227 0.7500 0.7169
S: 0.5808 0.2500 0.9230
S: 0.6238 0.7500 0.4767
S: 0.7071 0.7500 0.1634
S: 0.7929 0.2500 0.6634
S: 0.8762 0.2500 0.9767
S: 0.9192 0.7500 0.4230
S: 0.9773 0.2500 0.2169

Output
DOS(E_F): 0.00 states/eV/cell
E: -170.54 eV/cell
M_tot: 0.00 μB per formula unit
excess energy over the best structure of this formula in the dataset: 0 meV per atom
energy relative to the elements, uncorrected: -206.75 kJ per mole of atoms